An optimized crystal structure of PuHgN. Source: Alexandria, functional PBE-GGA.

Cell: 3.7759 3.7759 5.2842 Å, 90.00 90.00 120.00°
With the nearest neighbours (Å) after each atom.
Space group P-6m2 (No. 187)
One atom of each set of equivalent atoms:
Pu 0.0000 0.0000 0.0000 [1 per cell]  3 N 2.18
Hg 0.3333 0.6667 0.5000 [1 per cell]  6 Pu 3.43, 6 N 3.43, 6 Hg 3.78
N 0.6667 0.3333 0.0000 [1 per cell]  3 Pu 2.18

Output
Raw formation energy: -1.59 eV/f.u.
M_tot: 4.77 μB per formula unit
Volume: 21.75 Å³/atom
Distance to the lowest polymorph of the same formula: 0.2989 eV/atom
DOS at the Fermi energy: 7.1 states/eV/f.u.
Total energy: -8.184 eV per atom